Computed, not measured: crystalline KNp3S6 at its relaxed geometry at the GGA-PBE level of DFT.

Output
E ... -7.781 eV per atom

Geometry as POSCAR:
```
KNp3S6
1.0
4.055 0.000 0.000
0.000 11.006 -3.783
0.000 0.350 12.402
S K Np
12 2 6
Cartesian
1.014 9.164 2.329
1.014 2.994 2.731
1.014 9.908 8.458
1.014 0.845 9.249
3.041 8.362 5.888
3.041 6.291 2.914
1.014 7.112 -0.541
3.041 4.244 9.161
1.014 5.065 5.706
3.041 2.192 6.291
3.041 1.448 0.162
3.041 10.510 -0.629
3.041 7.452 9.189
1.014 3.903 -0.570
3.041 3.911 4.240
3.041 10.873 6.911
3.041 8.197 0.849
1.014 0.483 1.708
1.014 7.445 4.379
1.014 3.159 7.771
```